Compound: TiWS2Cl
Source: the Alexandria database
Functional: PBE
Structure: optimized geometry

Properties
Final energy   -29.2 eV per cell
Space-group type   P4/mmm
Formation energy from raw total energies   351 meV per atom
ΔE to the lowest computed polymorph   0 meV per atom

a b c (Å): 4.6471 4.6471 4.8776
angles (deg): 90.00 90.00 90.00
Last column: nearest neighbours and their distance in Å.
Fractional positions:
Ti 0.0000 0.0000 0.0000  4 Cl 3.29, 8 S 3.37
W 0.5000 0.5000 0.5000  4 S 2.32, 2 Cl 2.44
S 0.0000 0.5000 0.5000  2 W 2.32
S 0.5000 0.0000 0.5000  2 W 2.32
Cl 0.5000 0.5000 0.0000  2 W 2.44